DFT (GGA-PBE) results for an optimized crystal structure of Mo2RuAu.

Summary:
excess energy over the best structure of this formula in the dataset = 622 meV/atom
energy = -7.841 eV/atom
D(E_F) = 8.76 states/eV/cell
size of the total moment = 0.00 μB per formula unit
SG = No. 122

abc: 3.833 3.833 9.685
angles: 78.59 78.59 90.00
Sites, in units of the cell vectors:
Ru 0.500 0.500 0.000
Ru 0.250 0.750 0.500
Au 0.750 0.250 0.500
Au 0.000 0.000 0.000
Mo 0.375 0.395 0.750
Mo 0.145 0.625 0.250
Mo 0.875 0.855 0.750
Mo 0.605 0.125 0.250